1.
# Co4AgSb PBE-GGA relaxed
data_Co4AgSb
_space_group_name_H-M_alt 'P 1'
_space_group_IT_number 1
_cell_length_a 4.921
_cell_length_b 4.921
_cell_length_c 4.921
_cell_angle_alpha 60.00
_cell_angle_beta 60.00
_cell_angle_gamma 60.00
loop_
_space_group_symop_operation_xyz
'x,y,z'
loop_
_atom_site_label
_atom_site_fract_x
_atom_site_fract_y
_atom_site_fract_z
Co1 0.375 0.375 0.375
Sb1 0.750 0.750 0.750
Co2 0.375 0.876 0.375
Co3 0.876 0.375 0.375
Co4 0.375 0.375 0.876
Ag1 0.000 0.000 0.000
# total magnetization	7.21	μB per formula unit
# uncorrected formation energy	1.71	eV per formula unit
# final energy	-5.614	eV per atom



2.
# CaIn2P PBE-GGA relaxed
data_CaIn2P
_space_group_name_H-M_alt 'P 1'
_space_group_IT_number 1
_cell_length_a 6.418
_cell_length_b 6.418
_cell_length_c 6.418
_cell_angle_alpha 146.25
_cell_angle_beta 137.87
_cell_angle_gamma 55.03
loop_
_space_group_symop_operation_xyz
'x,y,z'
loop_
_atom_site_label
_atom_site_fract_x
_atom_site_fract_y
_atom_site_fract_z
P1 0.750 0.250 0.500
In1 0.954 0.954 0.000
In2 0.546 0.546 0.000
Ca1 0.250 0.750 0.500
# formation energy from the elements	-0.40	eV per atom
# total magnetization	0.00	μB per formula unit
# final energy	-3.618	eV per atom